Below is a relaxed CsCr2CdO8 crystal, with properties calculated at the PBE+U level.

Results
space-group type	No. 148
E_tot	-70.795	eV per cell

Lattice parameters (Å, degrees): 9.1380 9.1380 9.1380 34.77 34.77 34.77
Last column: nearest neighbours and their distance in Å.
Fractional coordinates of all 12 atoms:
Cs1 0.0000 0.0000 0.0000  12 O 3.25-3.59
Cr1 0.2391 0.2391 0.2391  4 O 1.65-1.67
Cr2 0.7609 0.7609 0.7609  4 O 1.65-1.67
Cd1 0.5000 0.5000 0.5000  6 O 2.28
O1 0.0850 0.7538 0.5045  1 Cr 1.67
O2 0.2462 0.4955 0.9150  1 Cr 1.67
O3 0.3031 0.3031 0.3031  1 Cr 1.65
O4 0.4955 0.9150 0.2462  1 Cr 1.67
O5 0.5045 0.0850 0.7538  1 Cr 1.67
O6 0.6969 0.6969 0.6969  1 Cr 1.65
O7 0.7538 0.5045 0.0850  1 Cr 1.67
O8 0.9150 0.2462 0.4955  1 Cr 1.67